Entry from Alexandria: HfNpS2 after structural relaxation (PBE-GGA).

Output
Raw formation energy: -1.28 eV/atom
Distance to the lowest polymorph of the same formula: 0.000 eV per atom

a = 3.6667 Å, b = 3.6667 Å, c = 19.8393 Å
α = 90.00°, β = 90.00°, γ = 120.00°
Space group R3m (No. 160, hexagonal axes)
Unique sites:
Hf 0.0000 0.0000 0.0000 [3 per cell]
Np 0.0000 0.0000 0.1782 [3 per cell]
S 0.0000 0.0000 0.4134 [3 per cell]
S 0.0000 0.0000 0.5957 [3 per cell]

=====

Entry from Alexandria: HfNp4Sc3S8 after structural relaxation (PBE-GGA).

Output
Raw formation energy: -1.55 eV/atom

a = 7.5858 Å, b = 7.5858 Å, c = 18.4991 Å
α = 90.00°, β = 90.00°, γ = 120.00°
Space group R-3m (No. 166, hexagonal axes)
Unique sites:
Hf 0.0000 0.0000 0.0000 [3 per cell]
Np 0.0000 0.0000 0.5000 [3 per cell]
Np 0.0000 0.5000 0.5000 [9 per cell]
Sc 0.0000 0.5000 0.0000 [9 per cell]
S 0.0000 0.0000 0.2556 [6 per cell]
S 0.0008 0.5004 0.7445 [18 per cell]

=====

Entry from Alexandria: HfNp2ScS4 after structural relaxation (PBE-GGA).

Output
Raw formation energy: -1.46 eV/atom

a = 6.431 Å, b = 3.793 Å, c = 6.634 Å
α = 90.00°, β = 109.74°, γ = 90.00°
Space group P2/m (No. 10)
Unique sites:
Hf 0.000 0.000 0.000 [1 per cell]
Np 0.500 0.000 0.500 [1 per cell]
Np 0.500 0.500 0.000 [1 per cell]
Sc 0.000 0.500 0.500 [1 per cell]
S 0.233 0.000 0.746 [2 per cell]
S 0.233 0.500 0.245 [2 per cell]